# PBE Rb3NaIn8, relaxed
data_Rb3NaIn8
_cell_length_a 11.1939
_cell_length_b 11.1939
_cell_length_c 11.1939
_cell_angle_alpha 33.98
_cell_angle_beta 33.98
_cell_angle_gamma 33.98
_space_group_name_H-M_alt 'P 1'
_space_group_IT_number 1
loop_
_space_group_symop_operation_xyz
'x,y,z'
loop_
_atom_site_label
_atom_site_type_symbol
_atom_site_fract_x
_atom_site_fract_y
_atom_site_fract_z
Rb1 Rb 0.0000 0.0000 0.0000
Rb2 Rb 0.1249 0.1249 0.1249
Rb3 Rb 0.6233 0.6233 0.6233
Na1 Na 0.4990 0.4990 0.4990
In1 In 0.0606 0.0606 0.5588
In2 In 0.0606 0.5588 0.0606
In3 In 0.0669 0.5628 0.5628
In4 In 0.3117 0.3117 0.3117
In5 In 0.5588 0.0606 0.0606
In6 In 0.5628 0.0669 0.5628
In7 In 0.5628 0.5628 0.0669
In8 In 0.8122 0.8122 0.8122
# ρ: 5.1 g/cm3
# Space group: No. 160
# Total DFT energy (no corrections): -27.0 eV/f.u.
# ΔH_f (0 K): -0.07 eV/atom
# Magnetic moment: 0.00 μB per formula unit